1.
The following is a PBE-GGA calculation of an optimized crystal structure of Sr5Tl2Au, from the Alexandria database.

Geometry as POSCAR:
```
Sr5Tl2Au
1.0
-0.910 3.548 -4.054
-7.384 1.078 2.602
4.349 10.326 8.062
Sr Tl Au
10 4 2
Direct
0.000 0.000 0.500
0.000 0.500 0.000
0.000 0.864 0.211
0.000 0.136 0.789
0.000 0.636 0.711
0.000 0.364 0.289
0.500 0.677 0.410
0.500 0.323 0.590
0.500 0.823 0.910
0.500 0.177 0.090
0.500 0.599 0.155
0.500 0.401 0.845
0.500 0.901 0.655
0.500 0.099 0.345
0.000 0.500 0.500
0.000 0.000 0.000
```

Computed properties:
DOS at the Fermi energy in states/eV/f.u.: 6.6
Formation energy in eV/atom: -0.41


2.
The following is a PBE-GGA calculation of an optimized crystal structure of ScPPt2, from the Alexandria database.

Geometry as POSCAR:
```
ScPPt2
1.0
1.912 4.019 0.004
-1.912 4.019 0.004
0.000 2.238 4.390
Sc P Pt
1 1 2
Direct
0.533 0.533 0.485
0.273 0.273 0.084
0.950 0.950 0.140
0.744 0.744 0.791
```

Computed properties:
DOS at the Fermi energy in states/eV/f.u.: 2.0
Formation energy in eV/atom: -0.88


3.
The following is a PBE-GGA calculation of an optimized crystal structure of Rb2NaTe, from the Alexandria database.

Geometry as POSCAR:
```
Rb2NaTe
1.0
-0.335 5.492 -1.412
-5.536 -0.623 -1.110
-5.622 5.300 10.526
Na Te Rb
2 2 4
Direct
0.500 0.500 0.000
0.250 0.750 0.500
0.000 0.000 0.000
0.750 0.250 0.500
0.659 0.125 0.250
0.091 0.625 0.250
0.375 0.341 0.750
0.875 0.909 0.750
```

Computed properties:
DOS at the Fermi energy in states/eV/f.u.: 3.3


4.
The following is a PBE-GGA calculation of an optimized crystal structure of YS2ICl, from the Alexandria database.

Geometry as POSCAR:
```
YS2ICl
1.0
5.281 0.000 0.000
0.000 5.281 0.000
0.000 0.000 5.158
I Y S Cl
1 1 2 1
Direct
0.000 0.000 0.000
0.500 0.500 0.500
0.000 0.500 0.000
0.500 0.000 0.000
0.000 0.000 0.500
```

Computed properties:
DOS at the Fermi energy in states/eV/f.u.: 5.4
E above lowest polymorph in eV per atom: 0.838


5.
The following is a PBE-GGA calculation of an optimized crystal structure of MgScAlOs, from the Alexandria database.

Geometry as POSCAR:
```
MgScAlOs
1.0
4.552 0.000 0.000
2.276 3.942 0.000
2.276 1.314 3.716
Sc Mg Os Al
1 1 1 1
Direct
0.000 0.000 0.000
0.250 0.250 0.250
0.750 0.750 0.750
0.500 0.500 0.500
```

Computed properties:
DOS at the Fermi energy in states/eV/f.u.: 3.5
Formation energy in eV/atom: -0.25


6.
The following is a PBE-GGA calculation of an optimized crystal structure of Na2SrLiHg4, from the Alexandria database.

Geometry as POSCAR:
```
Na2SrLiHg4
1.0
-1.155 -1.282 4.925
3.575 -2.345 2.992
3.702 6.695 5.376
Na Sr Li Hg
2 1 1 4
Direct
0.756 0.756 0.731
0.244 0.244 0.269
0.000 0.000 0.000
0.500 0.500 0.500
0.392 0.392 0.824
0.871 0.871 0.386
0.129 0.129 0.614
0.608 0.608 0.176
```

Computed properties:
DOS at the Fermi energy in states/eV/f.u.: 4.2
Formation energy in eV/atom: -0.31


Number 1: final energy -2.466 eV/atom. Number 2: final energy -6.831 eV/atom. Number 3: final energy -1.923 eV/atom. Number 4: final energy -3.422 eV/atom. Number 5: final energy -5.979 eV/atom. Number 6: final energy -1.239 eV/atom.